[1]
First-principles (PBE-GGA) data for a relaxed structure of Ac2Tl2Pt15, as listed in Alexandria via LeMat-Bulk.

Cell lengths 7.1420, 7.1420, 7.1420 Å; angles 84.43, 84.43, 84.43 degrees
Fractional coordinates of all 19 atoms:
Ac  0.3516  0.3516  0.3516
Ac  0.6484  0.6484  0.6484
Tl  0.1045  0.1045  0.1045
Tl  0.8955  0.8955  0.8955
Pt  0.5000  0.0000  0.0000
Pt  0.0000  0.0000  0.5000
Pt  0.0000  0.5000  0.0000
Pt  0.0000  0.6804  0.3196
Pt  0.6804  0.3196  0.0000
Pt  0.3196  0.0000  0.6804
Pt  0.3196  0.6804  0.0000
Pt  0.6804  0.0000  0.3196
Pt  0.0000  0.3196  0.6804
Pt  0.1666  0.6576  0.6576
Pt  0.6576  0.6576  0.1666
Pt  0.6576  0.1666  0.6576
Pt  0.8334  0.3424  0.3424
Pt  0.3424  0.3424  0.8334
Pt  0.3424  0.8334  0.3424

Properties
Electronic total energy ... -112.13 eV per formula unit
Fermi-level density of states ... 0.72 states/eV per atom
Space-group type ... R-3m (166)



[2]
First-principles (PBE-GGA) data for a relaxed structure of AcTlPt, as listed in Alexandria via LeMat-Bulk.

Cell lengths 4.0516, 4.8677, 4.8677 Å; angles 120.00, 90.00, 90.00 degrees
Fractional coordinates of all 3 atoms:
Ac  0.6668  0.6667  0.3333
Tl  0.1668  0.3333  0.6667
Pt  0.1664  0.0000  0.0000

Properties
Distance to the lowest polymorph of the same formula ... 0.097 eV per atom
Fermi-level density of states ... 0.66 states/eV per atom
Space-group type ... P-6m2 (187)



[3]
First-principles (PBE-GGA) data for a relaxed structure of Ac3Tl4Pt4, as listed in Alexandria via LeMat-Bulk.

Cell lengths 4.2893, 8.4113, 9.2124 Å; angles 117.16, 103.46, 90.00 degrees
Fractional coordinates of all 11 atoms:
Ac  0.1188  0.1188  0.2375
Ac  0.8812  0.8812  0.7625
Ac  0.0000  0.5000  0.0000
Tl  0.3285  0.1335  0.6570
Tl  0.6715  0.4765  0.3430
Tl  0.6715  0.8665  0.3430
Tl  0.3285  0.5235  0.6570
Pt  0.2286  0.7286  0.4572
Pt  0.7714  0.2714  0.5428
Pt  0.5000  0.7995  0.0000
Pt  0.5000  0.2005  0.0000

Properties
Electronic total energy ... -53.40 eV per formula unit
Fermi-level density of states ... 0.47 states/eV per atom
Space-group type ... Immm (71)



[4]
First-principles (PBE-GGA) data for a relaxed structure of Ac7Tl2Pt2, as listed in Alexandria via LeMat-Bulk.

Cell lengths 7.5650, 7.7464, 7.5650 Å; angles 90.00, 108.30, 90.00 degrees
Fractional coordinates of all 11 atoms:
Ac  0.9998  0.2529  0.5003
Ac  0.5003  0.7471  0.9998
Ac  0.0002  0.7471  0.4997
Ac  0.4997  0.2529  0.0002
Ac  0.0000  0.0000  0.0000
Ac  0.5002  0.7568  0.4998
Ac  0.4998  0.2432  0.5002
Tl  0.8302  0.5000  0.8302
Tl  0.1698  0.5000  0.1698
Pt  0.7091  0.0000  0.2909
Pt  0.2909  0.0000  0.7091

Properties
Distance to the lowest polymorph of the same formula ... 0.044 eV per atom
Fermi-level density of states ... 0.99 states/eV per atom
Space-group type ... Cmmm (65)



[5]
First-principles (PBE-GGA) data for a relaxed structure of AcTl3Pt8, as listed in Alexandria via LeMat-Bulk.

Cell lengths 5.5305, 5.5305, 9.5453 Å; angles 73.16, 73.16, 60.00 degrees
Fractional coordinates of all 12 atoms:
Ac  0.8765  0.8765  0.3705
Tl  0.3713  0.3713  0.8861
Tl  0.0058  0.0058  0.9827
Tl  0.4907  0.4907  0.5280
Pt  0.9378  0.4395  0.1831
Pt  0.4364  0.9381  0.6875
Pt  0.4395  0.4395  0.1831
Pt  0.9381  0.9381  0.6875
Pt  0.1881  0.1881  0.4356
Pt  0.6882  0.6882  0.9355
Pt  0.4395  0.9378  0.1831
Pt  0.9381  0.4364  0.6875

Properties
Electronic total energy ... -64.67 eV per formula unit
Fermi-level density of states ... 0.40 states/eV per atom
Space-group type ... R3m (160)



[6]
First-principles (PBE-GGA) data for a relaxed structure of Ac4Tl2Pt, as listed in Alexandria via LeMat-Bulk.

Cell lengths 4.9348, 6.9569, 8.4848 Å; angles 73.84, 73.09, 69.23 degrees
Fractional coordinates of all 7 atoms:
Ac  0.0780  0.2061  0.6378
Ac  0.9220  0.7939  0.3622
Ac  0.3318  0.2675  0.0690
Ac  0.6682  0.7325  0.9310
Tl  0.3605  0.6186  0.6604
Tl  0.6395  0.3814  0.3396
Pt  0.0000  0.0000  0.0000

Properties
Distance to the lowest polymorph of the same formula ... 0.000 eV per atom
Fermi-level density of states ... 1.05 states/eV per atom
Space-group type ... C2/m (12)



[7]
First-principles (PBE-GGA) data for a relaxed structure of Ac6Tl3Pt2, as listed in Alexandria via LeMat-Bulk.

Cell lengths 5.8137, 5.8137, 12.7152 Å; angles 103.22, 103.22, 90.00 degrees
Fractional coordinates of all 11 atoms:
Ac  0.0818  0.5818  0.1636
Ac  0.5818  0.0818  0.1636
Ac  0.9182  0.4182  0.8364
Ac  0.4182  0.9182  0.8364
Ac  0.7008  0.7008  0.4016
Ac  0.2992  0.2992  0.5984
Tl  0.0000  0.0000  0.0000
Tl  0.8366  0.8366  0.6732
Tl  0.1634  0.1634  0.3268
Pt  0.4423  0.4423  0.8846
Pt  0.5577  0.5577  0.1154

Properties
Electronic total energy ... -49.26 eV per formula unit
Fermi-level density of states ... 0.64 states/eV per atom
Space-group type ... I4/mmm (139)



[8]
First-principles (PBE-GGA) data for a relaxed structure of Ac5Tl2Pt, as listed in Alexandria via LeMat-Bulk.

Cell lengths 7.8869, 7.8869, 7.2957 Å; angles 122.72, 122.72, 90.00 degrees
Fractional coordinates of all 8 atoms:
Ac  0.7361  0.2342  0.9703
Ac  0.2340  0.2340  0.9703
Ac  0.7362  0.7362  0.9701
Ac  0.2341  0.7360  0.9701
Ac  0.7437  0.7438  0.4874
Tl  0.2365  0.7366  0.4731
Tl  0.7365  0.2365  0.4731
Pt  0.1198  0.1197  0.2395

Properties
Distance to the lowest polymorph of the same formula ... 0.226 eV per atom
Fermi-level density of states ... 1.12 states/eV per atom
Space-group type ... I4mm (107)



[9]
First-principles (PBE-GGA) data for a relaxed structure of Ac6Tl5Pt, as listed in Alexandria via LeMat-Bulk.

Cell lengths 5.4963, 8.8710, 9.7742 Å; angles 116.99, 106.39, 90.00 degrees
Fractional coordinates of all 12 atoms:
Ac  0.1573  0.3882  0.3144
Ac  0.1571  0.9261  0.3144
Ac  0.5002  0.2155  0.0000
Ac  0.4998  0.7845  0.0000
Ac  0.8429  0.0739  0.6856
Ac  0.8427  0.6118  0.6856
Tl  0.3107  0.8106  0.6212
Tl  0.6548  0.6548  0.3096
Tl  0.0000  0.5000  0.0000
Tl  0.3452  0.3452  0.6904
Tl  0.6893  0.1894  0.3788
Pt  0.0000  0.0000  0.0000

Properties
Electronic total energy ... -47.86 eV per formula unit
Fermi-level density of states ... 0.82 states/eV per atom
Space-group type ... C2/m (12)



[10]
First-principles (PBE-GGA) data for a relaxed structure of Ac4TlPt3, as listed in Alexandria via LeMat-Bulk.

Cell lengths 4.3909, 6.3821, 9.2601 Å; angles 90.00, 90.00, 90.00 degrees
Fractional coordinates of all 8 atoms:
Ac  0.0000  0.5000  0.5000
Ac  0.5000  0.0000  0.7218
Ac  0.0000  0.5000  0.0000
Ac  0.5000  0.0000  0.2782
Tl  0.0000  0.0000  0.0000
Pt  0.5000  0.5000  0.2510
Pt  0.0000  0.0000  0.5000
Pt  0.5000  0.5000  0.7490

Properties
Electronic total energy ... -43.91 eV per formula unit
Fermi-level density of states ... 0.41 states/eV per atom
Space-group type ... Pmmm (47)



[11]
First-principles (PBE-GGA) data for a relaxed structure of Ac7Tl2Pt2, as listed in Alexandria via LeMat-Bulk.

Cell lengths 4.2710, 10.6012, 10.6012 Å; angles 59.92, 78.38, 78.38 degrees
Fractional coordinates of all 11 atoms:
Ac  0.8246  0.0643  0.2865
Ac  0.8863  0.3873  0.8401
Ac  0.5000  0.9839  0.0161
Ac  0.6013  0.5061  0.2914
Ac  0.3987  0.7086  0.4939
Ac  0.1754  0.7135  0.9357
Ac  0.1137  0.1599  0.6127
Tl  0.7410  0.8655  0.6525
Tl  0.2590  0.3475  0.1345
Pt  0.0000  0.7679  0.2321
Pt  0.5000  0.3493  0.6507

Properties
Distance to the lowest polymorph of the same formula ... 0.000 eV per atom
Fermi-level density of states ... 0.94 states/eV per atom
Space-group type ... Imm2 (44)



[12]
First-principles (PBE-GGA) data for a relaxed structure of Ac3TlPt, as listed in Alexandria via LeMat-Bulk.

Cell lengths 5.8991, 5.8991, 5.8991 Å; angles 90.00, 90.00, 90.00 degrees
Fractional coordinates of all 5 atoms:
Ac  0.0000  0.5000  0.0000
Ac  0.0000  0.0000  0.5000
Ac  0.5000  0.0000  0.0000
Tl  0.5000  0.5000  0.5000
Pt  0.0000  0.0000  0.0000

Properties
Distance to the lowest polymorph of the same formula ... 0.176 eV per atom
Fermi-level density of states ... 1.70 states/eV per atom
Space-group type ... Pm-3m (221)